Entry 1:
First-principles (PBE) data for Mg3Os after structural relaxation, as listed in OQMD.

E ... -3.803 eV/atom
Spin magnetization ... 0.001 μB per atom
SG ... No. 194

Cell lengths 5.865, 5.865, 4.666 Å; angles 90.00, 90.00, 120.00 degrees
Element x y z (fractional)
1 Mg 0.018 0.509 0.000
2 Mg 0.491 0.509 0.000
3 Mg 0.491 0.982 0.000
4 Mg 0.316 0.158 0.500
5 Mg 0.842 0.158 0.500
6 Mg 0.842 0.684 0.500
7 Os 0.000 0.000 0.000
8 Os 0.333 0.667 0.500


Entry 2:
First-principles (PBE) data for PrBeNb after structural relaxation, as listed in OQMD.

E ... -4.629 eV/atom
Distance to the lowest polymorph of the same formula ... 884.7 meV/atom
Spin magnetization ... 0.700 μB per atom
SG ... No. 216

Cell lengths 4.710, 4.710, 4.710 Å; angles 60.00, 60.00, 60.00 degrees
Element x y z (fractional)
1 Be 0.250 0.250 0.250
2 Nb 0.750 0.750 0.750
3 Pr 0.000 0.000 0.000


Entry 3:
First-principles (PBE) data for SmMgIn after structural relaxation, as listed in OQMD.

E ... -3.230 eV/atom
Spin magnetization ... 0.000 μB per atom
SG ... No. 216

Cell lengths 5.026, 5.026, 5.026 Å; angles 60.00, 60.00, 60.00 degrees
Element x y z (fractional)
1 In 0.000 0.000 0.000
2 Mg 0.250 0.250 0.250
3 Sm 0.750 0.750 0.750


Entry 4:
First-principles (PBE) data for HfSiHg2 after structural relaxation, as listed in OQMD.

E ... -3.672 eV/atom
Spin magnetization ... 0.001 μB per atom
SG ... No. 216

Cell lengths 4.881, 4.881, 4.881 Å; angles 60.00, 60.00, 60.00 degrees
Element x y z (fractional)
1 Hf 0.250 0.250 0.250
2 Hg 0.000 0.000 0.000
3 Hg 0.750 0.750 0.750
4 Si 0.500 0.500 0.500


Entry 5:
First-principles (PBE) data for Mg2TaGa after structural relaxation, as listed in OQMD.

E ... -4.183 eV/atom
Spin magnetization ... 0.100 μB per atom
SG ... No. 216

Cell lengths 4.691, 4.691, 4.691 Å; angles 60.00, 60.00, 60.00 degrees
Last column: magnetic moment on the atom in μB.
Element x y z (fractional)
1 Ga 0.500 0.500 0.500  -0.01
2 Mg 0.000 0.000 0.000  0.00
3 Mg 0.750 0.750 0.750  0.00
4 Ta 0.250 0.250 0.250  0.17


Entry 6:
First-principles (PBE) data for SrNdPdSe3 after structural relaxation, as listed in OQMD.

E ... -5.163 eV/atom
Distance to the lowest polymorph of the same formula ... 3.9 meV/atom
Spin magnetization ... 0.001 μB per atom
SG ... No. 63

Cell lengths 7.383, 7.383, 10.674 Å; angles 90.00, 90.00, 147.83 degrees
Element x y z (fractional)
1 Nd 0.500 0.500 0.000
2 Nd 0.500 0.500 0.500
3 Pd 0.980 0.020 0.250
4 Pd 0.020 0.980 0.750
5 Se 0.856 0.144 0.069
6 Se 0.589 0.411 0.250
7 Se 0.856 0.144 0.431
8 Se 0.144 0.856 0.569
9 Se 0.411 0.589 0.750
10 Se 0.144 0.856 0.931
11 Sr 0.255 0.745 0.250
12 Sr 0.745 0.255 0.750